1.
The following is a DFT calculation (PBE) of a relaxed structure of LaPm2TeO8.

crystal system	orthorhombic
size of the total moment	0.93	Bohr magnetons per cell
E_tot	-7.213	eV per atom
formation energy without anion corrections	-2.44	eV per atom

Unit cell a=5.143 b=5.144 c=7.223 alpha=90.00 beta=90.00 gamma=90.71
Site moments in Bohr magnetons follow the coordinates.
Atoms (fractional coordinates):
La  0.000  0.000  0.500  0.03
Pm  0.500  0.500  0.759  -0.01
Pm  0.500  0.500  0.241  -0.01
Te  0.000  0.000  0.000  -0.01
O  0.180  0.819  0.200  0.06
O  0.729  0.731  0.000  0.12
O  0.820  0.181  0.200  0.06
O  0.820  0.181  0.800  0.06
O  0.271  0.269  0.000  0.12
O  0.180  0.819  0.800  0.06
O  0.685  0.687  0.500  0.14
O  0.315  0.313  0.500  0.14


2.
The following is a DFT calculation (PBE) of a relaxed structure of La2PmTeO8.

crystal system	monoclinic
size of the total moment	1.02	Bohr magnetons per cell
E_tot	-7.208	eV per atom
formation energy without anion corrections	-2.42	eV per atom

Unit cell a=4.414 b=5.541 c=7.276 alpha=90.00 beta=90.00 gamma=94.03
Site moments in Bohr magnetons follow the coordinates.
Atoms (fractional coordinates):
La  0.500  0.500  0.752  0.01
La  0.500  0.500  0.248  0.01
Pm  0.000  0.000  0.500  0.00
Te  0.000  0.000  0.000  -0.01
O  0.068  0.771  0.203  0.02
O  0.599  0.830  0.000  0.37
O  0.932  0.229  0.203  0.02
O  0.932  0.229  0.797  0.02
O  0.401  0.170  0.000  0.37
O  0.068  0.771  0.797  0.02
O  0.553  0.749  0.500  0.03
O  0.447  0.251  0.500  0.03


3.
The following is a DFT calculation (PBE) of a relaxed structure of LaPmTeO6.

crystal system	trigonal
size of the total moment	0.00	Bohr magnetons per cell
E_tot	-7.143	eV per atom
formation energy without anion corrections	-2.41	eV per atom

Unit cell a=5.743 b=5.743 c=9.853 alpha=90.00 beta=90.00 gamma=120.00
Atoms (fractional coordinates):
La  0.000  0.000  0.000
La  0.000  0.000  0.500
Pm  0.333  0.667  0.250
Pm  0.667  0.333  0.750
Te  0.667  0.333  0.250
Te  0.333  0.667  0.750
O  0.669  0.617  0.138
O  0.948  0.331  0.138
O  0.331  0.948  0.638
O  0.052  0.669  0.862
O  0.383  0.331  0.362
O  0.948  0.617  0.362
O  0.617  0.948  0.862
O  0.669  0.052  0.362
O  0.052  0.383  0.638
O  0.383  0.052  0.138
O  0.617  0.669  0.638
O  0.331  0.383  0.862


4.
The following is a DFT calculation (PBE) of a relaxed structure of La2PmUO8.

crystal system	orthorhombic
size of the total moment	0.92	Bohr magnetons per cell
E_tot	-8.689	eV per atom
formation energy without anion corrections	-3.23	eV per atom

Unit cell a=3.987 b=5.616 c=7.739 alpha=90.00 beta=90.00 gamma=90.03
Site moments in Bohr magnetons follow the coordinates.
Atoms (fractional coordinates):
La  0.500  0.500  0.753  0.01
La  0.500  0.500  0.247  0.01
Pm  0.000  0.000  0.500  -0.01
U  0.000  0.000  0.000  -0.06
O  0.000  0.769  0.220  0.05
O  0.500  0.781  0.000  0.12
O  0.000  0.231  0.220  0.05
O  0.000  0.231  0.780  0.05
O  0.500  0.219  0.000  0.12
O  0.000  0.769  0.780  0.05
O  0.500  0.753  0.500  0.19
O  0.500  0.247  0.500  0.19


5.
The following is a DFT calculation (PBE) of a relaxed structure of LaPmUO6.

crystal system	trigonal
size of the total moment	0.00	Bohr magnetons per cell
E_tot	-8.956	eV per atom
formation energy without anion corrections	-3.32	eV per atom

Unit cell a=5.963 b=5.963 c=9.716 alpha=90.00 beta=90.00 gamma=120.00
Atoms (fractional coordinates):
La  0.000  0.000  0.000
La  0.000  0.000  0.500
Pm  0.333  0.667  0.250
Pm  0.667  0.333  0.750
U  0.667  0.333  0.250
U  0.333  0.667  0.750
O  0.665  0.632  0.137
O  0.968  0.335  0.137
O  0.335  0.968  0.637
O  0.032  0.665  0.863
O  0.368  0.335  0.363
O  0.968  0.632  0.363
O  0.632  0.968  0.863
O  0.665  0.032  0.363
O  0.032  0.368  0.637
O  0.368  0.032  0.137
O  0.632  0.665  0.637
O  0.335  0.368  0.863


6.
The following is a DFT calculation (PBE) of a relaxed structure of LaPm2UO8.

crystal system	orthorhombic
size of the total moment	0.95	Bohr magnetons per cell
E_tot	-8.669	eV per atom
formation energy without anion corrections	-3.22	eV per atom

Unit cell a=3.974 b=5.499 c=7.781 alpha=90.00 beta=90.00 gamma=90.05
Site moments in Bohr magnetons follow the coordinates.
Atoms (fractional coordinates):
La  0.000  0.000  0.500  0.01
Pm  0.500  0.500  0.759  -0.01
Pm  0.500  0.500  0.241  -0.01
U  0.000  0.000  0.000  -0.04
O  0.000  0.762  0.217  0.04
O  0.501  0.776  0.000  0.08
O  0.000  0.238  0.217  0.04
O  0.000  0.238  0.783  0.04
O  0.499  0.224  0.000  0.08
O  0.000  0.762  0.783  0.04
O  0.500  0.739  0.500  0.26
O  0.500  0.261  0.500  0.26


Copy entry 3 word for word.
The following is a DFT calculation (PBE) of a relaxed structure of LaPmTeO6.

crystal system	trigonal
size of the total moment	0.00	Bohr magnetons per cell
E_tot	-7.143	eV per atom
formation energy without anion corrections	-2.41	eV per atom

Unit cell a=5.743 b=5.743 c=9.853 alpha=90.00 beta=90.00 gamma=120.00
Atoms (fractional coordinates):
La  0.000  0.000  0.000
La  0.000  0.000  0.500
Pm  0.333  0.667  0.250
Pm  0.667  0.333  0.750
Te  0.667  0.333  0.250
Te  0.333  0.667  0.750
O  0.669  0.617  0.138
O  0.948  0.331  0.138
O  0.331  0.948  0.638
O  0.052  0.669  0.862
O  0.383  0.331  0.362
O  0.948  0.617  0.362
O  0.617  0.948  0.862
O  0.669  0.052  0.362
O  0.052  0.383  0.638
O  0.383  0.052  0.138
O  0.617  0.669  0.638
O  0.331  0.383  0.862


Repeat the fifth record exactly.
The following is a DFT calculation (PBE) of a relaxed structure of LaPmUO6.

crystal system	trigonal
size of the total moment	0.00	Bohr magnetons per cell
E_tot	-8.956	eV per atom
formation energy without anion corrections	-3.32	eV per atom

Unit cell a=5.963 b=5.963 c=9.716 alpha=90.00 beta=90.00 gamma=120.00
Atoms (fractional coordinates):
La  0.000  0.000  0.000
La  0.000  0.000  0.500
Pm  0.333  0.667  0.250
Pm  0.667  0.333  0.750
U  0.667  0.333  0.250
U  0.333  0.667  0.750
O  0.665  0.632  0.137
O  0.968  0.335  0.137
O  0.335  0.968  0.637
O  0.032  0.665  0.863
O  0.368  0.335  0.363
O  0.968  0.632  0.363
O  0.632  0.968  0.863
O  0.665  0.032  0.363
O  0.032  0.368  0.637
O  0.368  0.032  0.137
O  0.632  0.665  0.637
O  0.335  0.368  0.863